A geometry-optimized NaLa2CrH structure, computed with PBE.

a = 5.9747 Å, b = 5.9747 Å, c = 4.7316 Å
α = 90.00°, β = 90.00°, γ = 90.00°
Closest atoms and distances in Å follow each position.
Positions (direct):
Na: 0.0000 0.0000 0.0000  2 Cr 2.37
La: 0.0000 0.5000 0.0000  2 Na 2.99
La: 0.5000 0.0000 0.0000  2 Na 2.99
Cr: 0.0000 0.0000 0.5000  2 Na 2.37
H: 0.5000 0.5000 0.5000  8 La 3.81, 4 Cr 4.22

Results
Its density of states at the Fermi level is 1.06 states/eV/atom. The total DFT energy (no corrections) is -3.44 eV per atom.